[1]
Na2LaFeBi: single point on PBEsol structure, meta-GGA SCAN.

Results
formation enthalpy at 0 K	0.88	eV per atom

```
data_Na2LaFeBi
_space_group_name_H-M_alt 'P 4/m m m'
_space_group_IT_number 123
_space_group_name_Hall '-P 4 2'
_cell_length_a 5.961
_cell_length_b 5.961
_cell_length_c 4.240
_cell_angle_alpha 90.00
_cell_angle_beta 90.00
_cell_angle_gamma 90.00
loop_
_atom_site_label
_atom_site_type_symbol
_atom_site_fract_x
_atom_site_fract_y
_atom_site_fract_z
_atom_site_occupancy
Na1 Na 0.000 0.500 0.000 1
La1 La 0.000 0.000 0.000 1
Fe1 Fe 0.000 0.000 0.500 1
Bi1 Bi 0.500 0.500 0.500 1
```

=====

[2]
K3BeHg: single point on PBEsol structure, meta-GGA SCAN.

Results
formation enthalpy at 0 K	0.51	eV per atom

```
data_K3BeHg
_space_group_name_H-M_alt 'P m -3 m'
_space_group_IT_number 221
_space_group_name_Hall '-P 4 2 3'
_cell_length_a 6.251
_cell_length_b 6.251
_cell_length_c 6.251
_cell_angle_alpha 90.00
_cell_angle_beta 90.00
_cell_angle_gamma 90.00
loop_
_atom_site_label
_atom_site_type_symbol
_atom_site_fract_x
_atom_site_fract_y
_atom_site_fract_z
_atom_site_occupancy
K1 K 0.000 0.000 0.500 1
Be1 Be 0.000 0.000 0.000 1
Hg1 Hg 0.500 0.500 0.500 1
```

=====

[3]
TeMoIr: single point on PBEsol structure, meta-GGA SCAN.

Results
energy relative to the elements, uncorrected	444	meV/atom

```
data_TeMoIr
_space_group_name_H-M_alt 'P 3 m 1'
_space_group_IT_number 156
_space_group_name_Hall 'P 3 -2"'
_cell_length_a 3.0406
_cell_length_b 3.0406
_cell_length_c 6.4483
_cell_angle_alpha 90.00
_cell_angle_beta 90.00
_cell_angle_gamma 120.00
loop_
_atom_site_label
_atom_site_type_symbol
_atom_site_fract_x
_atom_site_fract_y
_atom_site_fract_z
_atom_site_occupancy
Te1 Te 0.0000 0.0000 0.0000 1
Mo1 Mo 0.6667 0.3333 0.3328 1
Ir1 Ir 0.3333 0.6667 0.6420 1
```

=====

[4]
TcAsCl2: single point on PBEsol structure, meta-GGA SCAN.

Results
relative energy among the computed polymorphs	362.5	meV/atom
energy relative to the elements, uncorrected	167	meV/atom

```
data_TcAsCl2
_space_group_name_H-M_alt 'C m m 2'
_space_group_IT_number 35
_space_group_name_Hall 'C 2 -2'
_cell_length_a 3.137
_cell_length_b 5.467
_cell_length_c 8.748
_cell_angle_alpha 90.00
_cell_angle_beta 90.00
_cell_angle_gamma 90.00
loop_
_atom_site_label
_atom_site_type_symbol
_atom_site_fract_x
_atom_site_fract_y
_atom_site_fract_z
_atom_site_occupancy
Tc1 Tc 0.000 0.000 0.000 1
As1 As 0.000 0.500 0.210 1
Cl1 Cl 0.000 0.000 0.445 1
Cl2 Cl 0.000 0.500 0.791 1
```

=====

[5]
AgTe2Mo: single point on PBEsol structure, meta-GGA SCAN.

Results
relative energy among the computed polymorphs	698.6	meV/atom
energy relative to the elements, uncorrected	822	meV/atom

```
data_AgTe2Mo
_space_group_name_H-M_alt 'F -4 3 m'
_space_group_IT_number 216
_space_group_name_Hall 'F -4 2 3'
_cell_length_a 7.003
_cell_length_b 7.003
_cell_length_c 7.003
_cell_angle_alpha 90.00
_cell_angle_beta 90.00
_cell_angle_gamma 90.00
loop_
_atom_site_label
_atom_site_type_symbol
_atom_site_fract_x
_atom_site_fract_y
_atom_site_fract_z
_atom_site_occupancy
Ag1 Ag 0.000 0.000 0.000 1
Te1 Te 0.000 0.000 0.500 1
Te2 Te 0.250 0.250 0.750 1
Mo1 Mo 0.250 0.250 0.250 1
```

=====

[6]
WAu2Br2: single point on PBEsol structure, meta-GGA SCAN.

Results
energy relative to the elements, uncorrected	922	meV/atom

```
data_WAu2Br2
_space_group_name_H-M_alt 'I 4/m m m'
_space_group_IT_number 139
_space_group_name_Hall '-I 4 2'
_cell_length_a 3.490
_cell_length_b 3.490
_cell_length_c 18.904
_cell_angle_alpha 90.00
_cell_angle_beta 90.00
_cell_angle_gamma 90.00
loop_
_atom_site_label
_atom_site_type_symbol
_atom_site_fract_x
_atom_site_fract_y
_atom_site_fract_z
_atom_site_occupancy
W1 W 0.000 0.000 0.000 1
Au1 Au 0.000 0.500 0.250 1
Br1 Br 0.000 0.000 0.420 1
```

=====

[7]
CoAs2Os: single point on PBEsol structure, meta-GGA SCAN.

Results
formation enthalpy at 0 K	0.22	eV per atom

```
data_CoAs2Os
_space_group_name_H-M_alt 'R 3 m'
_space_group_IT_number 160
_space_group_name_Hall 'R 3 -2"'
_cell_length_a 2.8431
_cell_length_b 2.8431
_cell_length_c 27.7189
_cell_angle_alpha 90.00
_cell_angle_beta 90.00
_cell_angle_gamma 120.00
loop_
_atom_site_label
_atom_site_type_symbol
_atom_site_fract_x
_atom_site_fract_y
_atom_site_fract_z
_atom_site_occupancy
Co1 Co 0.0000 0.0000 0.0000 1
As1 As 0.0000 0.0000 0.5241 1
As2 As 0.0000 0.0000 0.7287 1
Os1 Os 0.0000 0.0000 0.2593 1
```

=====

[8]
TbNi4Au: single point on PBEsol structure, meta-GGA SCAN.

Results
formation enthalpy at 0 K	-0.38	eV per atom

```
data_TbNi4Au
_space_group_name_H-M_alt 'F -4 3 m'
_space_group_IT_number 216
_space_group_name_Hall 'F -4 2 3'
_cell_length_a 6.866
_cell_length_b 6.866
_cell_length_c 6.866
_cell_angle_alpha 90.00
_cell_angle_beta 90.00
_cell_angle_gamma 90.00
loop_
_atom_site_label
_atom_site_type_symbol
_atom_site_fract_x
_atom_site_fract_y
_atom_site_fract_z
_atom_site_occupancy
Tb1 Tb 0.000 0.000 0.000 1
Ni1 Ni 0.124 0.124 0.376 1
Au1 Au 0.250 0.250 0.750 1
```

=====

[9]
Te4RuPt: single point on PBEsol structure, meta-GGA SCAN.

Results
energy relative to the elements, uncorrected	1371	meV/atom

```
data_Te4RuPt
_space_group_name_H-M_alt 'F -4 3 m'
_space_group_IT_number 216
_space_group_name_Hall 'F -4 2 3'
_cell_length_a 8.399
_cell_length_b 8.399
_cell_length_c 8.399
_cell_angle_alpha 90.00
_cell_angle_beta 90.00
_cell_angle_gamma 90.00
loop_
_atom_site_label
_atom_site_type_symbol
_atom_site_fract_x
_atom_site_fract_y
_atom_site_fract_z
_atom_site_occupancy
Te1 Te 0.125 0.125 0.125 1
Ru1 Ru 0.250 0.250 0.750 1
Pt1 Pt 0.000 0.000 0.500 1
```

=====

[10]
CsNiRuI2: single point on PBEsol structure, meta-GGA SCAN.

Results
energy relative to the elements, uncorrected	174	meV/atom

```
data_CsNiRuI2
_space_group_name_H-M_alt 'P 4/m m m'
_space_group_IT_number 123
_space_group_name_Hall '-P 4 2'
_cell_length_a 5.497
_cell_length_b 5.497
_cell_length_c 4.595
_cell_angle_alpha 90.00
_cell_angle_beta 90.00
_cell_angle_gamma 90.00
loop_
_atom_site_label
_atom_site_type_symbol
_atom_site_fract_x
_atom_site_fract_y
_atom_site_fract_z
_atom_site_occupancy
Cs1 Cs 0.000 0.000 0.000 1
Ni1 Ni 0.500 0.500 0.000 1
Ru1 Ru 0.500 0.500 0.500 1
I1 I 0.000 0.500 0.500 1
```

=====

[11]
BaCaMg2Cd: single point on PBEsol structure, meta-GGA SCAN.

Results
formation enthalpy at 0 K	0.75	eV per atom

```
data_BaCaMg2Cd
_space_group_name_H-M_alt 'P 4/m m m'
_space_group_IT_number 123
_space_group_name_Hall '-P 4 2'
_cell_length_a 6.027
_cell_length_b 6.027
_cell_length_c 5.951
_cell_angle_alpha 90.00
_cell_angle_beta 90.00
_cell_angle_gamma 90.00
loop_
_atom_site_label
_atom_site_type_symbol
_atom_site_fract_x
_atom_site_fract_y
_atom_site_fract_z
_atom_site_occupancy
Ba1 Ba 0.000 0.000 0.000 1
Ca1 Ca 0.500 0.500 0.500 1
Mg1 Mg 0.000 0.500 0.000 1
Cd1 Cd 0.000 0.000 0.500 1
```

=====

[12]
TbMn6Ge6: single point on PBEsol structure, meta-GGA SCAN.

Results
formation enthalpy at 0 K	-0.44	eV per atom

```
data_TbMn6Ge6
_space_group_name_H-M_alt 'P 6/m m m'
_space_group_IT_number 191
_space_group_name_Hall '-P 6 2'
_cell_length_a 5.0917
_cell_length_b 5.0917
_cell_length_c 8.0331
_cell_angle_alpha 90.00
_cell_angle_beta 90.00
_cell_angle_gamma 120.00
loop_
_atom_site_label
_atom_site_type_symbol
_atom_site_fract_x
_atom_site_fract_y
_atom_site_fract_z
_atom_site_occupancy
Tb1 Tb 0.0000 0.0000 0.0000 1
Mn1 Mn 0.0000 0.5000 0.2507 1
Ge1 Ge 0.0000 0.0000 0.3448 1
Ge2 Ge 0.3333 0.6667 0.0000 1
Ge3 Ge 0.3333 0.6667 0.5000 1
```

=====

[13]
Na2LiP3H8O13: single point on PBEsol structure, meta-GGA SCAN.

```
data_Na2LiP3H8O13
_space_group_name_H-M_alt 'P -1'
_space_group_IT_number 2
_space_group_name_Hall '-P 1'
_cell_length_a 6.856
_cell_length_b 9.402
_cell_length_c 9.756
_cell_angle_alpha 94.80
_cell_angle_beta 104.47
_cell_angle_gamma 108.77
loop_
_atom_site_label
_atom_site_type_symbol
_atom_site_fract_x
_atom_site_fract_y
_atom_site_fract_z
_atom_site_occupancy
Na1 Na 0.056 0.450 0.336 1
Na2 Na 0.313 0.837 0.534 1
Li1 Li 0.116 0.234 0.114 1
P1 P 0.224 0.205 0.526 1
P2 P 0.308 0.270 0.834 1
P3 P 0.428 0.517 0.679 1
H1 H 0.040 0.949 0.139 1
H2 H 0.072 0.723 0.204 1
H3 H 0.194 0.062 0.285 1
H4 H 0.253 0.723 0.962 1
H5 H 0.257 0.821 0.842 1
H6 H 0.298 0.711 0.228 1
H7 H 0.405 0.059 0.181 1
H8 H 0.464 0.050 0.825 1
O1 O 0.028 0.226 0.437 1
O2 O 0.150 0.231 0.920 1
O3 O 0.153 0.742 0.880 1
O4 O 0.155 0.051 0.178 1
O5 O 0.182 0.165 0.678 1
O6 O 0.183 0.700 0.275 1
O7 O 0.267 0.579 0.599 1
O8 O 0.309 0.093 0.466 1
O9 O 0.335 0.440 0.805 1
O10 O 0.340 0.387 0.259 1
O11 O 0.424 0.366 0.583 1
O12 O 0.445 0.943 0.789 1
O13 O 0.477 0.748 0.115 1
```

=====

[14]
AlNiIr2: single point on PBEsol structure, meta-GGA SCAN.

Results
formation enthalpy at 0 K	-0.46	eV per atom

```
data_AlNiIr2
_space_group_name_H-M_alt 'I -4 m 2'
_space_group_IT_number 119
_space_group_name_Hall 'I -4 -2'
_cell_length_a 3.721
_cell_length_b 3.721
_cell_length_c 7.535
_cell_angle_alpha 90.00
_cell_angle_beta 90.00
_cell_angle_gamma 90.00
loop_
_atom_site_label
_atom_site_type_symbol
_atom_site_fract_x
_atom_site_fract_y
_atom_site_fract_z
_atom_site_occupancy
Al1 Al 0.000 0.000 0.000 1
Ni1 Ni 0.000 0.500 0.750 1
Ir1 Ir 0.000 0.000 0.500 1
Ir2 Ir 0.000 0.500 0.250 1
```

=====

[15]
CdCoTe2O: single point on PBEsol structure, meta-GGA SCAN.

Results
energy relative to the elements, uncorrected	-217	meV/atom

```
data_CdCoTe2O
_space_group_name_H-M_alt 'P 4/m m m'
_space_group_IT_number 123
_space_group_name_Hall '-P 4 2'
_cell_length_a 5.405
_cell_length_b 5.405
_cell_length_c 3.377
_cell_angle_alpha 90.00
_cell_angle_beta 90.00
_cell_angle_gamma 90.00
loop_
_atom_site_label
_atom_site_type_symbol
_atom_site_fract_x
_atom_site_fract_y
_atom_site_fract_z
_atom_site_occupancy
Cd1 Cd 0.000 0.000 0.000 1
Co1 Co 0.500 0.500 0.500 1
Te1 Te 0.000 0.500 0.500 1
O1 O 0.500 0.500 0.000 1
```

=====

[16]
Cs3MgB: single point on PBEsol structure, meta-GGA SCAN.

Results
formation enthalpy at 0 K	0.91	eV per atom

```
data_Cs3MgB
_space_group_name_H-M_alt 'P m -3 m'
_space_group_IT_number 221
_space_group_name_Hall '-P 4 2 3'
_cell_length_a 6.439
_cell_length_b 6.439
_cell_length_c 6.439
_cell_angle_alpha 90.00
_cell_angle_beta 90.00
_cell_angle_gamma 90.00
loop_
_atom_site_label
_atom_site_type_symbol
_atom_site_fract_x
_atom_site_fract_y
_atom_site_fract_z
_atom_site_occupancy
Cs1 Cs 0.000 0.000 0.500 1
Mg1 Mg 0.500 0.500 0.500 1
B1 B 0.000 0.000 0.000 1
```

=====

[17]
Ba3Br2O2: single point on PBEsol structure, meta-GGA SCAN.

Results
relative energy among the computed polymorphs	0.0	meV/atom
energy relative to the elements, uncorrected	-2617	meV/atom

```
data_Ba3Br2O2
_space_group_name_H-M_alt 'P n m a'
_space_group_IT_number 62
_space_group_name_Hall '-P 2ac 2n'
_cell_length_a 12.851
_cell_length_b 6.277
_cell_length_c 10.711
_cell_angle_alpha 90.00
_cell_angle_beta 90.00
_cell_angle_gamma 90.00
loop_
_atom_site_label
_atom_site_type_symbol
_atom_site_fract_x
_atom_site_fract_y
_atom_site_fract_z
_atom_site_occupancy
Ba1 Ba 0.040 0.250 0.198 1
Ba2 Ba 0.081 0.250 0.555 1
Ba3 Ba 0.206 0.750 0.349 1
Br1 Br 0.138 0.750 0.043 1
Br2 Br 0.201 0.750 0.670 1
O1 O 0.067 0.501 0.368 1
```

=====

[18]
TaCd: single point on PBEsol structure, meta-GGA SCAN.

Results
formation enthalpy at 0 K	0.24	eV per atom

```
data_TaCd
_space_group_name_H-M_alt 'C 1 m 1'
_space_group_IT_number 8
_space_group_name_Hall 'C -2y'
_cell_length_a 11.212
_cell_length_b 2.803
_cell_length_c 7.310
_cell_angle_alpha 90.00
_cell_angle_beta 103.63
_cell_angle_gamma 90.00
loop_
_atom_site_label
_atom_site_type_symbol
_atom_site_fract_x
_atom_site_fract_y
_atom_site_fract_z
_atom_site_occupancy
Ta1 Ta 0.000 0.000 0.000 1
Ta2 Ta 0.063 0.000 0.657 1
Ta3 Ta 0.226 0.500 0.975 1
Cd1 Cd 0.158 0.500 0.348 1
Cd2 Cd 0.330 0.000 0.681 1
Cd3 Cd 0.396 0.000 0.307 1
```

=====

[19]
Sr2LiCr: single point on PBEsol structure, meta-GGA SCAN.

Results
formation enthalpy at 0 K	0.23	eV per atom

```
data_Sr2LiCr
_space_group_name_H-M_alt 'A m m 2'
_space_group_IT_number 38
_space_group_name_Hall 'A 2 -2'
_cell_length_a 4.907
_cell_length_b 4.487
_cell_length_c 12.452
_cell_angle_alpha 90.00
_cell_angle_beta 90.00
_cell_angle_gamma 90.00
loop_
_atom_site_label
_atom_site_type_symbol
_atom_site_fract_x
_atom_site_fract_y
_atom_site_fract_z
_atom_site_occupancy
Sr1 Sr 0.000 0.000 0.000 1
Sr2 Sr 0.500 0.000 0.289 1
Li1 Li 0.500 0.000 0.586 1
Cr1 Cr 0.000 0.000 0.712 1
```

=====

[20]
YReAgC2: single point on PBEsol structure, meta-GGA SCAN.

Results
formation enthalpy at 0 K	3.09	eV per atom

```
data_YReAgC2
_space_group_name_H-M_alt 'P 4/m m m'
_space_group_IT_number 123
_space_group_name_Hall '-P 4 2'
_cell_length_a 4.347
_cell_length_b 4.347
_cell_length_c 5.290
_cell_angle_alpha 90.00
_cell_angle_beta 90.00
_cell_angle_gamma 90.00
loop_
_atom_site_label
_atom_site_type_symbol
_atom_site_fract_x
_atom_site_fract_y
_atom_site_fract_z
_atom_site_occupancy
Y1 Y 0.000 0.000 0.000 1
Re1 Re 0.000 0.000 0.500 1
Ag1 Ag 0.500 0.500 0.500 1
C1 C 0.000 0.500 0.000 1
```

=====

Respective D(E_F) values: 2.6, 4.1, 2.7, 4.8, 7.5, 5.7, 7.8, 18.0, 23.0, 3.3, 4.1, 3.9, 0.0, 6.5, 3.1, 3.2, 0.0, 7.1, 5.4, 4.0 states/eV per cell.
Respective M_tot values: 0.0, 0.0, 0.0, 0.0, 3.0, 0.9, 1.4, 0.0, 3.0, 0.0, 0.0, 12.4, 0.0, 0.0, 0.0, 0.0, 0.0, 0.0, 5.0, 2.3 μB per formula unit.
Respective DFT total energy values: -143.8, -95.0, -141.9, -141.1, -549.9, -484.6, -386.1, -731.5, -983.2, -161.4, -85.8, -276.5, -401.0, -335.9, -129.5, -121.3, -753.4, -579.2, -128.8, -135.1 eV for the cell shown.